# 1
First-principles (PBE-GGA) data for a relaxed ZrRe3 crystal, as listed in the Alexandria database. Values from VASP.

The structure in Quantum ESPRESSO input format:
```
&SYSTEM
  ibrav = 0, nat = 4, ntyp = 2
/
ATOMIC_SPECIES
Re 186.21 Re.upf
Zr 91.22 Zr.upf
CELL_PARAMETERS angstrom
-2.2180 4.4797 1.8503
-2.4672 -0.2650 4.7174
4.6111 -0.6690 -2.5885
ATOMIC_POSITIONS angstrom
Re -1.1422 1.0275 1.6011
Re -3.5430 3.1872 4.9665
Re 1.0720 -0.4670 1.0644
Zr 1.1966 1.9053 -0.3691
```

## Properties
Its energy of formation from the pure elements is 0.014 eV per atom. The space group is Immm.

=====

# 2
First-principles (PBE-GGA) data for a relaxed ZrRe crystal, as listed in the Alexandria database. Values from VASP.

The structure in Quantum ESPRESSO input format:
```
&SYSTEM
  ibrav = 0, nat = 4, ntyp = 2
/
ATOMIC_SPECIES
Re 186.21 Re.upf
Zr 91.22 Zr.upf
CELL_PARAMETERS angstrom
-0.8953 -4.0116 1.4309
0.1931 -1.9078 -5.2276
2.9773 -0.5532 0.3119
ATOMIC_POSITIONS angstrom
Re 0.1922 -1.8989 -5.2033
Re 1.1867 -3.7221 -3.0737
Zr 0.1006 -0.9938 -2.7231
Zr 1.0853 -2.7195 -0.3262
```

## Properties
Its energy of formation from the pure elements is 0.206 eV per atom. The space group is Pmmn.

=====

# 3
First-principles (PBE-GGA) data for a relaxed ZrRe2 crystal, as listed in the Alexandria database. Values from VASP.

The structure in Quantum ESPRESSO input format:
```
&SYSTEM
  ibrav = 0, nat = 12, ntyp = 2
/
ATOMIC_SPECIES
Re 186.21 Re.upf
Zr 91.22 Zr.upf
CELL_PARAMETERS angstrom
-0.1007 5.2455 -0.7423
-1.8513 -3.2439 -3.7595
-7.8980 0.3554 3.5827
ATOMIC_POSITIONS angstrom
Re -2.3755 3.8791 -0.3643
Re -3.2747 2.3034 -2.1904
Re -7.5234 1.0260 -0.9155
Re -7.4745 -1.5221 -0.5549
Re -2.3266 1.3310 -0.0037
Re 0.0000 0.0000 0.0000
Re -6.5753 0.0536 1.2712
Re -3.9490 0.1777 1.7913
Zr -5.1346 2.6160 0.2712
Zr -4.7155 -0.2590 -1.1903
Zr -1.7695 -0.3916 -2.5267
Zr -8.0805 2.7485 1.6075
```

## Properties
Its energy of formation from the pure elements is -0.356 eV per atom. The space group is P6_3/mmc.

=====

# 4
First-principles (PBE-GGA) data for a relaxed ZrRe crystal, as listed in the Alexandria database. Values from VASP.

The structure in Quantum ESPRESSO input format:
```
&SYSTEM
  ibrav = 0, nat = 4, ntyp = 2
/
ATOMIC_SPECIES
Re 186.21 Re.upf
Zr 91.22 Zr.upf
CELL_PARAMETERS angstrom
9.7148 0.0153 -0.0090
0.4553 2.9547 0.0000
-0.4553 -1.4423 2.5788
ATOMIC_POSITIONS angstrom
Re 9.0636 -1.3968 2.5521
Re 7.7096 1.8368 0.6557
Zr 5.0157 0.7395 1.2992
Zr 2.0427 -0.3148 1.9175
```

## Properties
Its energy of formation from the pure elements is 0.226 eV per atom. The space group is R-3m.

=====

# 5
First-principles (PBE-GGA) data for a relaxed Zr3Re2 crystal, as listed in the Alexandria database. Values from VASP.

The structure in Quantum ESPRESSO input format:
```
&SYSTEM
  ibrav = 0, nat = 5, ntyp = 2
/
ATOMIC_SPECIES
Zr 91.22 Zr.upf
Re 186.21 Re.upf
CELL_PARAMETERS angstrom
-4.0973 -0.1523 -2.1672
1.9191 -3.9037 1.6081
-2.6141 0.7296 4.8909
ATOMIC_POSITIONS angstrom
Zr 0.0000 0.0000 0.0000
Zr -3.7992 -0.9262 2.2856
Zr -0.9931 -2.4001 2.0462
Re -2.5033 -1.2879 -0.1389
Re -2.2890 -2.0385 4.4706
```

## Properties
Its energy of formation from the pure elements is 0.037 eV per atom. The space group is P-3m1.

=====

# 6
First-principles (PBE-GGA) data for a relaxed ZrRe3 crystal, as listed in the Alexandria database. Values from VASP.

The structure in Quantum ESPRESSO input format:
```
&SYSTEM
  ibrav = 0, nat = 8, ntyp = 2
/
ATOMIC_SPECIES
Zr 91.22 Zr.upf
Re 186.21 Re.upf
CELL_PARAMETERS angstrom
3.6016 1.6625 5.9761
-2.7171 2.5300 6.1372
-0.8248 -5.0803 -4.9959
ATOMIC_POSITIONS angstrom
Zr 0.5526 2.6195 7.5687
Zr 0.3318 1.5729 4.5446
Re -1.7710 -1.2752 0.5706
Re 0.7712 3.6554 10.5618
Re 0.1133 0.5370 1.5516
Re 1.6095 -0.6608 3.5184
Re -1.5499 -0.2271 3.5990
Re 1.3884 -1.7089 0.4901
```

## Properties
Its energy of formation from the pure elements is 0.012 eV per atom. The space group is I4/mmm.

=====

# 7
First-principles (PBE-GGA) data for a relaxed Zr2Re crystal, as listed in the Alexandria database. Values from VASP.

The structure in Quantum ESPRESSO input format:
```
&SYSTEM
  ibrav = 0, nat = 6, ntyp = 2
/
ATOMIC_SPECIES
Zr 91.22 Zr.upf
Re 186.21 Re.upf
CELL_PARAMETERS angstrom
-2.8977 3.2552 3.3611
-3.7922 3.4112 -2.0671
-5.3468 -0.9874 0.8527
ATOMIC_POSITIONS angstrom
Zr -7.5229 3.5494 1.3417
Zr -6.0741 1.9217 -0.3389
Zr -5.6268 1.8438 2.3752
Zr -4.8496 4.0431 0.9153
Re 0.0000 0.0000 0.0000
Re -3.0092 1.4197 0.5367
```

## Properties
Its energy of formation from the pure elements is 0.751 eV per atom. The space group is Fd-3m.

=====

# 8
First-principles (PBE-GGA) data for a relaxed Zr5Re3 crystal, as listed in the Alexandria database. Values from VASP.

The structure in Quantum ESPRESSO input format:
```
&SYSTEM
  ibrav = 0, nat = 16, ntyp = 2
/
ATOMIC_SPECIES
Re 186.21 Re.upf
Zr 91.22 Zr.upf
CELL_PARAMETERS angstrom
7.9397 0.0000 0.0000
0.0000 5.8202 0.0000
-3.9699 0.0000 6.8761
ATOMIC_POSITIONS angstrom
Re -2.3659 4.3652 4.0979
Re -1.6040 1.4551 2.7782
Re 1.6040 4.3652 2.7782
Re 3.2083 1.4551 0.0001
Re 2.3657 1.4551 4.0979
Re 4.7318 4.3652 0.0000
Zr -3.0188 1.4551 5.2287
Zr -0.9512 4.3652 1.6476
Zr 0.9513 1.4551 1.6474
Zr 1.9025 4.3652 0.0001
Zr 0.0000 0.0000 4.5841
Zr 0.0000 2.9101 4.5841
Zr 3.9698 0.0000 2.2920
Zr 3.9698 2.9101 2.2920
Zr 3.0185 4.3652 5.2285
Zr 6.0372 1.4551 0.0000
```

## Properties
Its energy of formation from the pure elements is -0.063 eV per atom. The space group is P6_3/mcm.